[1]
First-principles (PBE) data for crystalline LiZnIrCl6 at its relaxed geometry, as listed in the Alexandria database.

```
LiZnIrCl6
1.0
-0.2074 -3.4271 5.2069
5.0285 3.4715 -1.2502
-4.7422 8.9140 5.6781
Li Zn Ir Cl
2 2 2 12
direct
0.0000 0.0000 0.0000 Li
0.0000 0.0000 0.5000 Li
0.6667 0.3333 0.2500 Zn
0.3333 0.6667 0.7500 Zn
0.3333 0.6667 0.2500 Ir
0.6667 0.3333 0.7500 Ir
0.6384 0.6531 0.1341 Cl
0.0147 0.3616 0.1341 Cl
0.3616 0.0147 0.6341 Cl
0.9853 0.6384 0.8659 Cl
0.3469 0.3616 0.3659 Cl
0.0147 0.6531 0.3659 Cl
0.6531 0.0147 0.8659 Cl
0.6384 0.9853 0.3659 Cl
0.9853 0.3469 0.6341 Cl
0.3469 0.9853 0.1341 Cl
0.6531 0.6384 0.6341 Cl
0.3616 0.3469 0.8659 Cl
```

Summary:
- crystal system = trigonal
- E_tot (eV per atom) = -3.51
- formation energy without anion corrections (eV/atom) = -0.94
- space group = No. 163



[2]
First-principles (PBE) data for crystalline LiZrIr2Cl at its relaxed geometry, as listed in the Alexandria database.

```
LiZrIr2Cl
1.0
4.7917 0.0000 0.0000
0.0000 10.0393 0.0000
0.0000 0.0000 4.7917
Ir Li Zr Cl
2 1 1 1
direct
0.0000 0.0000 0.5000 Ir
0.5000 0.0000 0.0000 Ir
0.0000 0.5000 0.0000 Li
0.0000 0.0000 0.0000 Zr
0.5000 0.5000 0.5000 Cl
```

Summary:
- crystal system = tetragonal
- E_tot (eV per atom) = -4.97
- formation energy without anion corrections (eV/atom) = 1.04
- space group = No. 123



[3]
First-principles (PBE) data for crystalline Lu2IrCl at its relaxed geometry, as listed in the Alexandria database.

```
Lu2IrCl
1.0
-2.3466 -3.1048 1.3477
1.7357 -3.5769 1.0748
0.5931 0.3835 8.2094
Ir Lu Cl
1 2 1
direct
0.5000 0.5000 0.5000 Ir
0.1105 0.1105 0.6684 Lu
0.8895 0.8895 0.3316 Lu
0.0000 0.0000 0.0000 Cl
```

Summary:
- crystal system = trigonal
- E_tot (eV per atom) = -6.14
- formation energy without anion corrections (eV/atom) = -1.21
- space group = No. 166



[4]
First-principles (PBE) data for crystalline MgIr2Cl at its relaxed geometry, as listed in the Alexandria database.

```
MgIr2Cl
1.0
-2.5648 2.7609 -7.8477
-2.6790 -0.0999 -8.2825
-4.9220 1.2707 -7.0673
Cl Ir Mg
1 2 1
direct
0.7500 0.7500 0.7500 Cl
0.0016 0.0016 0.0016 Ir
0.4984 0.4984 0.4984 Ir
0.2500 0.2500 0.2500 Mg
```

Summary:
- crystal system = trigonal
- E_tot (eV per atom) = -4.97
- formation energy without anion corrections (eV/atom) = 0.32
- space group = No. 166



[5]
First-principles (PBE) data for crystalline MgIr2Cl at its relaxed geometry, as listed in the Alexandria database.

```
MgIr2Cl
1.0
-2.8688 -0.8523 -3.8347
-2.0639 -1.5654 4.1172
-1.2349 2.5610 0.3547
Cl Ir Mg
1 2 1
direct
0.0000 0.5000 0.5000 Cl
0.0000 0.0000 0.0000 Ir
0.5000 0.5000 0.0000 Ir
0.5000 0.0000 0.5000 Mg
```

Summary:
- crystal system = orthorhombic
- E_tot (eV per atom) = -4.72
- formation energy without anion corrections (eV/atom) = 0.58
- space group = No. 65



[6]
First-principles (PBE) data for crystalline MgIrCl2 at its relaxed geometry, as listed in the Alexandria database.

```
MgIrCl2
1.0
8.0021 0.1650 -0.0142
6.3698 4.8463 0.0142
-6.9930 -3.0590 2.4086
Cl Ir Mg
2 1 1
direct
0.9801 0.9801 0.0000 Cl
0.7424 0.2424 0.5000 Cl
0.4605 0.4605 0.0000 Ir
0.3171 0.8171 0.5000 Mg
```

Summary:
- crystal system = orthorhombic
- E_tot (eV per atom) = -3.81
- formation energy without anion corrections (eV/atom) = -0.28
- space group = No. 44